Entry 1:
{
  "formula": "LaEr2Zn2Sn2",
  "functional": "PBE",
  "state": "relaxed",
  "formation_enthalpy_0k_ev_per_fu": -2.521,
  "vol_a3_per_cell": 179,
  "space_group": "R-3m",
  "lattice_angstrom": [[2.367, 1.366, 9.232], [-2.367, 1.366, 9.232], [0.000, -2.733, 9.232]],
  "species": ["La", "Er", "Er", "Zn", "Zn", "Sn", "Sn"],
  "frac_coords": [[0.000, 0.000, 0.000], [0.133, 0.133, 0.133], [0.867, 0.867, 0.867], [0.427, 0.427, 0.427], [0.573, 0.573, 0.573], [0.262, 0.262, 0.262], [0.738, 0.738, 0.738]]
}

***

Entry 2:
{
  "formula": "AlSiSn2",
  "functional": "PBE",
  "state": "relaxed",
  "e_form_raw_kj_per_mol_atoms": 33.7,
  "relative_energy_ev_per_atom": 0.122,
  "vol_a3_per_cell": 87,
  "space_group": "Fm-3m",
  "lattice_angstrom": [[0.000, 3.520, 3.520], [3.520, 0.000, 3.520], [3.520, 3.520, 0.000]],
  "species": ["Al", "Si", "Sn", "Sn"],
  "frac_coords": [[0.000, 0.000, 0.000], [0.500, 0.500, 0.500], [0.250, 0.250, 0.250], [0.750, 0.750, 0.750]]
}

***

Entry 3:
{
  "formula": "CsCuSnTe2",
  "functional": "PBE",
  "state": "relaxed",
  "e_form_raw_kj_per_mol_atoms": -35.9,
  "vol_a3_per_cell": 406,
  "space_group": "Cmme",
  "lattice_angstrom": [[3.799, -8.176, 0.000], [3.799, 8.176, 0.000], [0.000, 0.000, 6.543]],
  "species": ["Cs", "Cs", "Cu", "Cu", "Sn", "Sn", "Te", "Te", "Te", "Te"],
  "frac_coords": [[0.250, 0.750, 0.751], [0.750, 0.250, 0.249], [0.000, 0.000, 0.000], [0.500, 0.500, 0.000], [0.250, 0.250, 0.500], [0.750, 0.750, 0.500], [0.115, 0.885, 0.243], [0.385, 0.615, 0.243], [0.615, 0.385, 0.757], [0.885, 0.115, 0.757]]
}

***

Entry 4:
{
  "formula": "Sm6YS8",
  "functional": "PBE",
  "state": "relaxed",
  "e_form_raw_kj_per_mol_atoms": -198.7,
  "relative_energy_ev_per_atom": 0.000,
  "vol_a3_per_cell": 361,
  "space_group": "Fm-3m",
  "lattice_angstrom": [[0.000, 5.652, 5.652], [5.652, 0.000, 5.652], [5.652, 5.652, 0.000]],
  "species": ["Sm", "Sm", "Sm", "Sm", "Sm", "Sm", "Y", "S", "S", "S", "S", "S", "S", "S", "S"],
  "frac_coords": [[0.000, 0.000, 0.500], [0.000, 0.500, 0.000], [0.000, 0.500, 0.500], [0.500, 0.000, 0.000], [0.500, 0.000, 0.500], [0.500, 0.500, 0.000], [0.000, 0.000, 0.000], [0.246, 0.246, 0.754], [0.246, 0.754, 0.246], [0.246, 0.754, 0.754], [0.250, 0.250, 0.250], [0.750, 0.750, 0.750], [0.754, 0.246, 0.246], [0.754, 0.246, 0.754], [0.754, 0.754, 0.246]]
}

***

Entry 5:
{
  "formula": "Sc2CdNi",
  "functional": "PBE",
  "state": "relaxed",
  "formation_enthalpy_0k_ev_per_fu": -0.533,
  "vol_a3_per_cell": 75,
  "space_group": "I-4m2",
  "lattice_angstrom": [[-2.073, 2.073, 4.381], [2.073, -2.073, 4.381], [2.073, 2.073, -4.381]],
  "species": ["Sc", "Sc", "Cd", "Ni"],
  "frac_coords": [[0.000, 0.000, 0.000], [0.750, 0.250, 0.500], [0.250, 0.750, 0.500], [0.500, 0.500, 0.000]]
}

***

Entry 6:
{
  "formula": "LaSn2Hg2",
  "functional": "PBE",
  "state": "relaxed",
  "formation_enthalpy_0k_ev_per_fu": -1.275,
  "relative_energy_ev_per_atom": 0.130,
  "vol_a3_per_cell": 142,
  "space_group": "I4/mmm",
  "lattice_angstrom": [[-2.286, 2.286, 6.775], [2.286, -2.286, 6.775], [2.286, 2.286, -6.775]],
  "species": ["La", "Sn", "Sn", "Hg", "Hg"],
  "frac_coords": [[0.000, 0.000, 0.000], [0.393, 0.393, 0.000], [0.607, 0.607, 0.000], [0.250, 0.750, 0.500], [0.750, 0.250, 0.500]]
}